# 1
VASP calculation (SCAN) on TiCrTe3 at its PBEsol-relaxed geometry.

Lattice parameters (Å, degrees): 5.104 5.104 5.104 90.00 90.00 90.00
Space group Pm-3m (No. 221)
One atom of each set of equivalent atoms:
Ti 0.000 0.000 0.000 [1 per cell]
Cr 0.500 0.500 0.500 [1 per cell]
Te 0.000 0.500 0.500 [3 per cell]

- Fermi-level density of states (states/eV/atom) = 0.522
- VASP energy (eV per atom) = -28.94
- total magnetization (μB per cell) = 4.7
- V (Å³/cell) = 133

---

# 2
VASP calculation (SCAN) on Ti4CrTe8 at its PBEsol-relaxed geometry.

Lattice parameters (Å, degrees): 12.562 7.567 9.006 90.00 133.68 90.00
Space group C2/m (No. 12)
One atom of each set of equivalent atoms:
Ti 0.000 0.229 0.000 [4 per cell]
Ti 0.245 0.000 0.486 [4 per cell]
Cr 0.000 0.500 0.500 [2 per cell]
Te 0.044 0.500 0.837 [4 per cell]
Te 0.055 0.000 0.830 [4 per cell]
Te 0.201 0.244 0.671 [8 per cell]

- Fermi-level density of states (states/eV/atom) = 0.550
- VASP energy (eV per atom) = -29.97
- total magnetization (μB per cell) = 6.8
- V (Å³/cell) = 619

---

# 3
VASP calculation (SCAN) on TlCrTe at its PBEsol-relaxed geometry.

Lattice parameters (Å, degrees): 3.498 3.498 12.136 90.00 90.00 90.00
Space group I4mm (No. 107)
One atom of each set of equivalent atoms:
Tl 0.000 0.000 0.000 [2 per cell]
Cr 0.000 0.000 0.673 [2 per cell]
Te 0.000 0.000 0.268 [2 per cell]

- Fermi-level density of states (states/eV/atom) = 0.351
- VASP energy (eV per atom) = -42.68
- total magnetization (μB per cell) = 7.4
- V (Å³/cell) = 148

---

# 4
VASP calculation (SCAN) on Tl2CrTe at its PBEsol-relaxed geometry.

Lattice parameters (Å, degrees): 3.468 4.631 12.773 90.00 90.00 90.00
Space group Imm2 (No. 44)
One atom of each set of equivalent atoms:
Tl 0.000 0.000 0.000 [2 per cell]
Tl 0.000 0.500 0.180 [2 per cell]
Cr 0.000 0.500 0.715 [2 per cell]
Te 0.000 0.000 0.372 [2 per cell]

- energy above the lowest structure with this stoichiometry (meV/atom) = 104.2
- Fermi-level density of states (states/eV/atom) = 0.509
- VASP energy (eV per atom) = -50.00
- total magnetization (μB per cell) = 7.5
- V (Å³/cell) = 205

---

# 5
VASP calculation (SCAN) on Tl2CrTe at its PBEsol-relaxed geometry.

Lattice parameters (Å, degrees): 3.517 3.517 8.073 90.00 90.00 90.00
Space group P4mm (No. 99)
One atom of each set of equivalent atoms:
Tl 0.000 0.000 0.000 [1 per cell]
Tl 0.500 0.500 0.284 [1 per cell]
Cr 0.000 0.000 0.534 [1 per cell]
Te 0.500 0.500 0.682 [1 per cell]

- energy above the lowest structure with this stoichiometry (meV/atom) = 0.0
- Fermi-level density of states (states/eV/atom) = 0.400
- VASP energy (eV per atom) = -50.10
- total magnetization (μB per cell) = 3.9
- V (Å³/cell) = 100

---

# 6
VASP calculation (SCAN) on Tl2CrTe at its PBEsol-relaxed geometry.

Lattice parameters (Å, degrees): 4.750 4.750 8.975 90.00 90.00 90.00
Space group I-4m2 (No. 119)
One atom of each set of equivalent atoms:
Tl 0.000 0.000 0.000 [2 per cell]
Tl 0.000 0.500 0.250 [2 per cell]
Cr 0.000 0.000 0.500 [2 per cell]
Te 0.000 0.500 0.750 [2 per cell]

- energy above the lowest structure with this stoichiometry (meV/atom) = 159.7
- Fermi-level density of states (states/eV/atom) = 0.340
- VASP energy (eV per atom) = -49.94
- total magnetization (μB per cell) = 9.2
- V (Å³/cell) = 203

---

# 7
VASP calculation (SCAN) on TlCr4Te at its PBEsol-relaxed geometry.

Lattice parameters (Å, degrees): 7.076 7.076 7.076 90.00 90.00 90.00
Space group F-43m (No. 216)
One atom of each set of equivalent atoms:
Tl 0.000 0.000 0.000 [4 per cell]
Cr 0.128 0.128 0.372 [16 per cell]
Te 0.250 0.250 0.750 [4 per cell]

- Fermi-level density of states (states/eV/atom) = 1.179
- VASP energy (eV per atom) = -29.77
- total magnetization (μB per cell) = 0.0
- V (Å³/cell) = 354

---

# 8
VASP calculation (SCAN) on Y2CrTe at its PBEsol-relaxed geometry.

Lattice parameters (Å, degrees): 3.755 3.755 6.835 90.00 90.00 90.00
Space group P4/mmm (No. 123)
One atom of each set of equivalent atoms:
Y 0.000 0.000 0.242 [2 per cell]
Cr 0.500 0.500 0.000 [1 per cell]
Te 0.500 0.500 0.500 [1 per cell]

- Fermi-level density of states (states/eV/atom) = 0.418
- VASP energy (eV per atom) = -28.42
- total magnetization (μB per cell) = 3.2
- V (Å³/cell) = 96

---

# 9
VASP calculation (SCAN) on YCr2Te at its PBEsol-relaxed geometry.

Lattice parameters (Å, degrees): 4.349 4.349 3.829 90.00 90.00 90.00
Space group P4/mmm (No. 123)
One atom of each set of equivalent atoms:
Y 0.000 0.000 0.000 [1 per cell]
Cr 0.000 0.500 0.500 [2 per cell]
Te 0.500 0.500 0.000 [1 per cell]

- energy above the lowest structure with this stoichiometry (meV/atom) = 120.4
- Fermi-level density of states (states/eV/atom) = 0.867
- VASP energy (eV per atom) = -25.38
- total magnetization (μB per cell) = 6.1
- V (Å³/cell) = 72

---

# 10
VASP calculation (SCAN) on YCrTe2 at its PBEsol-relaxed geometry.

Lattice parameters (Å, degrees): 4.221 4.221 10.974 90.00 90.00 90.00
Space group I-4m2 (No. 119)
One atom of each set of equivalent atoms:
Y 0.000 0.000 0.000 [2 per cell]
Cr 0.000 0.500 0.250 [2 per cell]
Te 0.000 0.000 0.500 [2 per cell]
Te 0.000 0.500 0.750 [2 per cell]

- Fermi-level density of states (states/eV/atom) = 0.326
- VASP energy (eV per atom) = -30.85
- total magnetization (μB per cell) = 9.8
- V (Å³/cell) = 195

---

# 11
VASP calculation (SCAN) on YCr2Te at its PBEsol-relaxed geometry.

Lattice parameters (Å, degrees): 6.920 6.920 6.920 90.00 90.00 90.00
Space group F-43m (No. 216)
One atom of each set of equivalent atoms:
Y 0.000 0.000 0.000 [4 per cell]
Cr 0.000 0.000 0.500 [4 per cell]
Cr 0.250 0.250 0.750 [4 per cell]
Te 0.250 0.250 0.250 [4 per cell]

- energy above the lowest structure with this stoichiometry (meV/atom) = 0.0
- Fermi-level density of states (states/eV/atom) = 0.735
- VASP energy (eV per atom) = -25.50
- total magnetization (μB per cell) = 0.5
- V (Å³/cell) = 331

---

# 12
VASP calculation (SCAN) on TiCr2 at its PBEsol-relaxed geometry.

Lattice parameters (Å, degrees): 4.8240 4.8240 7.7095 90.00 90.00 120.00
Space group P6_3/mmc (No. 194)
One atom of each set of equivalent atoms:
Ti 0.3333 0.6667 0.0604 [4 per cell]
Cr 0.0000 0.0000 0.0000 [2 per cell]
Cr 0.1699 0.3397 0.7500 [6 per cell]

- ΔH_f (0 K) (eV/f.u.) = -0.217
- energy above the lowest structure with this stoichiometry (meV/atom) = 20.9
- Fermi-level density of states (states/eV/atom) = 0.545
- VASP energy (eV per atom) = -17.67
- total magnetization (μB per cell) = 0.0
- V (Å³/cell) = 155

---

- Look up the V of the eighth one.
  96 Å³/cell

---

- Look up the V of the sixth one.
  203 Å³/cell